Record 1
Compound: Sr4Pr3AgS8
Source: Alexandria
Functional: GGA-PBE
Structure: optimized geometry

extended XYZ file:
```
16
Lattice="-5.379 -5.016 -3.907 4.313 -6.682 2.640 -2.772 5.584 5.524" Properties=species:S:1:pos:R:3 pbc="T T T"
Sr 0.000 0.000 0.000
Sr -2.690 -2.508 -1.954
S -2.946 -5.460 -2.209
S -4.318 -2.693 0.526
S -0.892 -0.653 6.466
S -3.558 -3.139 4.529
Pr 0.770 -0.549 4.082
Sr -4.076 0.284 0.808
Pr -1.919 -3.057 2.128
Ag 2.156 -3.341 1.320
S -1.647 -0.171 2.487
Sr -1.386 2.792 2.762
S -0.280 -2.975 -0.273
S -2.191 -5.943 1.770
S 0.480 -3.421 3.730
Pr -0.533 -5.849 -0.634
```

Summary:
space-group type = R-3m, No. 166
volume = 25.77 Å³/atom
Fermi-level density of states = 0.2834 states/eV per atom
density = 4.58 g cm⁻³
energy relative to the elements, uncorrected = -1859 meV/atom

---

Record 2
Compound: Ca3AlGa
Source: Alexandria
Functional: GGA-PBE
Structure: optimized geometry

extended XYZ file:
```
10
Lattice="-3.441 3.269 2.243 -3.808 -1.901 -3.072 -3.893 -5.550 8.261" Properties=species:S:1:pos:R:3 pbc="T T T"
Ga -6.994 -1.057 7.082
Ca -4.876 -1.377 4.654
Ga -6.380 -1.005 1.804
Ca -9.266 -3.225 6.755
Ca -5.057 -3.955 1.989
Ca -4.108 1.162 2.131
Al -7.175 -3.634 4.416
Ca -4.288 -1.411 -0.538
Al -2.758 -1.697 2.226
Ca -5.645 -3.921 7.181
```

Summary:
space-group type = Cmcm, No. 63
volume = 28.55 Å³/atom
formation energy = -1.3 eV/f.u.
Fermi-level density of states = 0.4947 states/eV per atom
density = 2.52 g cm⁻³

---

Record 3
Compound: Cs4Hg2Pt
Source: Alexandria
Functional: GGA-PBE
Structure: optimized geometry

extended XYZ file:
```
14
Lattice="7.642 -0.003 2.605 3.379 7.984 2.551 0.419 0.440 11.213" Properties=species:S:1:pos:R:3 pbc="T T T"
Hg 3.503 3.048 3.103
Cs 7.013 0.909 5.262
Cs 2.862 1.109 11.183
Cs 6.697 1.124 12.484
Cs 5.000 5.349 11.153
Cs 8.370 5.410 7.540
Hg 9.196 4.239 11.316
Cs 2.425 1.187 6.264
Pt 3.522 5.871 3.001
Cs 7.634 5.185 3.549
Hg 9.223 7.259 11.287
Pt 3.484 0.225 3.205
Cs 4.563 5.427 6.235
Hg 5.871 2.294 8.707
```

Summary:
space-group type = P-1, No. 2
volume = 47.91 Å³/atom
formation energy = -0.8 eV/f.u.
Fermi-level density of states = 0.4457 states/eV per atom
density = 5.58 g cm⁻³

---

Record 4
Compound: ZrZnCd3
Source: Alexandria
Functional: GGA-PBE
Structure: optimized geometry

extended XYZ file:
```
10
Lattice="-1.752 -0.494 2.486 3.966 -5.910 1.621 4.206 9.018 2.846" Properties=species:S:1:pos:R:3 pbc="T T T"
Zr 0.563 -1.626 1.983
Zn 0.627 0.982 0.637
Cd 3.611 -2.328 2.082
Cd 3.488 2.080 4.781
Zn 5.793 1.631 6.317
Cd 2.933 0.534 2.173
Zr 5.858 4.240 4.971
Cd 2.810 4.941 4.871
Cd 5.444 -0.181 3.800
Cd 0.977 2.795 3.153
```

Summary:
space-group type = C2/m, No. 12
volume = 20.80 Å³/atom
formation energy = -0.4 eV/f.u.
Fermi-level density of states = 0.4934 states/eV per atom
density = 7.88 g cm⁻³

---

Record 5
Compound: BaNa2HfPt
Source: Alexandria
Functional: GGA-PBE
Structure: optimized geometry

extended XYZ file:
```
5
Lattice="5.601 0.000 0.000 0.000 5.086 0.000 0.000 0.000 5.601" Properties=species:S:1:pos:R:3 pbc="T T T"
Ba 2.801 2.543 2.801
Na 2.801 0.000 0.000
Pt 0.000 0.000 0.000
Hf 0.000 2.543 0.000
Na 0.000 0.000 2.801
```

Summary:
space-group type = P4/mmm, No. 123
volume = 31.91 Å³/atom
formation energy = 0.5 eV/f.u.
Fermi-level density of states = 0.8636 states/eV per atom
density = 5.80 g cm⁻³

---

Record 6
Compound: Pu2MgAl
Source: Alexandria
Functional: GGA-PBE
Structure: optimized geometry

extended XYZ file:
```
4
Lattice="-4.962 1.433 0.233 -0.997 -3.234 -1.343 -0.226 -1.334 3.381" Properties=species:S:1:pos:R:3 pbc="T T T"
Pu -0.113 -0.667 1.690
Pu -0.499 -1.617 -0.672
Mg -3.093 -1.567 1.135
Al -2.481 0.717 0.117
```

Summary:
space-group type = P4/mmm, No. 123
volume = 17.14 Å³/atom
formation energy = 1.6 eV/f.u.
Fermi-level density of states = 1.5246 states/eV per atom
density = 13.06 g cm⁻³

---

> Among the records above, which one has the highest density?

Pu2MgAl

---

Repeat the sixth record exactly.
Compound: Pu2MgAl
Source: Alexandria
Functional: GGA-PBE
Structure: optimized geometry

extended XYZ file:
```
4
Lattice="-4.962 1.433 0.233 -0.997 -3.234 -1.343 -0.226 -1.334 3.381" Properties=species:S:1:pos:R:3 pbc="T T T"
Pu -0.113 -0.667 1.690
Pu -0.499 -1.617 -0.672
Mg -3.093 -1.567 1.135
Al -2.481 0.717 0.117
```

Summary:
space-group type = P4/mmm, No. 123
volume = 17.14 Å³/atom
formation energy = 1.6 eV/f.u.
Fermi-level density of states = 1.5246 states/eV per atom
density = 13.06 g cm⁻³